(1)
# Sc2InI

A PBEsol-optimized structure of Sc2InI (SCAN, Alexandria via LeMat-Bulk).

Unit cell a=3.4440 b=3.4440 c=10.5815 alpha=80.63 beta=80.63 gamma=60.00
Atoms (fractional coordinates):
I  0.5000  0.5000  0.5000
Sc  0.9059  0.9059  0.2823
Sc  0.0941  0.0941  0.7177
In  0.0000  0.0000  0.0000

Calculated values
symmetry: No. 166
Fermi-level density of states: 3.74 states/eV/cell
raw formation energy: -1.5 kJ/mol of atoms
raw total energy: -24.6661 eV/atom



(2)
# In2Sn2I

A PBEsol-optimized structure of In2Sn2I (SCAN, Alexandria via LeMat-Bulk).

Unit cell a=5.0805 b=5.0805 c=6.8322 alpha=111.83 beta=111.83 gamma=90.00
Atoms (fractional coordinates):
I  0.0000  0.0000  0.0000
Sn  0.3789  0.3789  0.7579
Sn  0.6211  0.6211  0.2421
In  0.2500  0.7500  0.5000
In  0.7500  0.2500  0.5000

Calculated values
symmetry: No. 139
Fermi-level density of states: 2.48 states/eV/cell
raw formation energy: 1.2 kJ/mol of atoms
raw total energy: -35.0590 eV/atom



(3)
# ZrInSnI2

A PBEsol-optimized structure of ZrInSnI2 (SCAN, Alexandria via LeMat-Bulk).

Unit cell a=5.6894 b=5.9083 c=5.9083 alpha=90.00 beta=90.00 gamma=90.00
Atoms (fractional coordinates):
I  0.0000  0.0000  0.5000
I  0.0000  0.5000  0.0000
Sn  0.0000  0.0000  0.0000
Zr  0.5000  0.0000  0.0000
In  0.5000  0.5000  0.5000

Calculated values
symmetry: No. 123
Fermi-level density of states: 3.52 states/eV/cell
raw formation energy: 54.9 kJ/mol of atoms
raw total energy: -34.1290 eV/atom



(4)
# SrInTeI2

A PBEsol-optimized structure of SrInTeI2 (SCAN, Alexandria via LeMat-Bulk).

Unit cell a=5.7521 b=5.8149 c=5.8149 alpha=90.00 beta=90.00 gamma=90.00
Atoms (fractional coordinates):
I  0.0000  0.0000  0.5000
I  0.0000  0.5000  0.0000
Sr  0.5000  0.5000  0.5000
Te  0.5000  0.0000  0.0000
In  0.0000  0.0000  0.0000

Calculated values
symmetry: No. 123
Fermi-level density of states: 0.87 states/eV/cell
raw formation energy: -73.4 kJ/mol of atoms
raw total energy: -34.0401 eV/atom



(5)
# TaIn3I

A PBEsol-optimized structure of TaIn3I (SCAN, Alexandria via LeMat-Bulk).

Unit cell a=5.7623 b=5.7623 c=5.7623 alpha=90.00 beta=90.00 gamma=90.00
Atoms (fractional coordinates):
I  0.0000  0.0000  0.0000
In  0.0000  0.5000  0.0000
In  0.0000  0.0000  0.5000
In  0.5000  0.0000  0.0000
Ta  0.5000  0.5000  0.5000

Calculated values
symmetry: No. 221
Fermi-level density of states: 5.35 states/eV/cell
raw formation energy: 170.1 kJ/mol of atoms
raw total energy: -38.9337 eV/atom



(6)
# Ta3InI

A PBEsol-optimized structure of Ta3InI (SCAN, Alexandria via LeMat-Bulk).

Unit cell a=5.0261 b=5.0261 c=5.0261 alpha=90.00 beta=90.00 gamma=90.00
Atoms (fractional coordinates):
I  0.5000  0.5000  0.5000
In  0.0000  0.0000  0.0000
Ta  0.0000  0.5000  0.0000
Ta  0.0000  0.0000  0.5000
Ta  0.5000  0.0000  0.0000

Calculated values
symmetry: No. 221
Fermi-level density of states: 8.29 states/eV/cell
raw formation energy: 235.5 kJ/mol of atoms
raw total energy: -51.5353 eV/atom